Entry from Alexandria via LeMat-Bulk: a relaxed structure of Np2PaFeN5 (GGA-PBE).

Properties
DOS at the Fermi energy (states/eV per cell): 18.9
Energy relative to the elements, uncorrected (eV per atom): -0.977

Unit cell a=6.1295 b=6.1295 c=7.0070 alpha=115.94 beta=115.94 gamma=90.00
Last column: nearest neighbours and their distance in Å.
Fractional positions:
Fe (0.7500, 0.2500, 0.5000)  4 N 1.86
N (0.3070, 0.8070, 0.2845)  1 Fe 1.86
N (0.6930, 0.1930, 0.7155)  1 Fe 1.86
Np (0.6500, 0.1500, 0.0000)  8 N 2.24-2.49
N (0.5000, 0.5000, 0.0000)  4 Np 2.33
Np (0.1500, 0.3500, 0.0000)  8 N 2.24-2.49
N (0.0225, 0.5225, 0.7155)  1 Fe 1.86
N (0.4775, 0.3070, 0.2845)  1 Fe 1.86
Fe (0.2500, 0.7500, 0.5000)  4 N 1.86
Np (0.8500, 0.6500, 0.0000)  8 N 2.24-2.49
N (0.8070, 0.9775, 0.2845)  1 Fe 1.86
Pa (0.7500, 0.7500, 0.5000)  10 N 2.58-2.75
N (0.5225, 0.6930, 0.7155)  1 Fe 1.86
N (0.9775, 0.4775, 0.2845)  1 Fe 1.86
N (0.1930, 0.0225, 0.7155)  1 Fe 1.86
N (0.0000, 0.0000, 0.0000)  4 Np 2.33
Np (0.3500, 0.8500, 0.0000)  8 N 2.24-2.49
Pa (0.2500, 0.2500, 0.5000)  10 N 2.58-2.75